Here is crystalline HfCrOF2 at its relaxed geometry from Alexandria. Energies are from PBE with a Hubbard U.

Computed properties:
Density of states at the Fermi level   3.160 states/eV/f.u.
Crystal system   tetragonal
Relative energy among the computed polymorphs   930 meV per atom

abc: 4.119 4.119 3.988
angles: 90.00 90.00 90.00
Sites, in units of the cell vectors:
Hf 0.000 0.000 0.000
Cr 0.500 0.500 0.500
O 0.500 0.500 0.000
F 0.000 0.500 0.500
F 0.500 0.000 0.500